{
  "formula": "Ir2RhPbI",
  "functional": "GGA-PBE",
  "state": "relaxed",
  "space_group": "P4/mmm (123)",
  "lattice": [[4.823, 0.000, 0.000], [0.000, 4.823, 0.000], [0.000, 0.000, 5.336]],
  "species": ["Ir", "Ir", "Rh", "Pb", "I"],
  "fractional_positions": [[0.000, 0.500, 0.000], [0.500, 0.000, 0.000], [0.000, 0.000, 0.000], [0.500, 0.500, 0.500], [0.000, 0.000, 0.500]]
}


{
  "formula": "TeIrPbI2",
  "functional": "GGA-PBE",
  "state": "relaxed",
  "space_group": "P4/mmm (123)",
  "polymorph_energy_mev_per_atom": 0,
  "lattice": [[5.439, 0.000, 0.000], [0.000, 5.439, 0.000], [0.000, 0.000, 5.321]],
  "species": ["Te", "Ir", "Pb", "I", "I"],
  "fractional_positions": [[0.000, 0.000, 0.000], [0.000, 0.000, 0.500], [0.500, 0.500, 0.000], [0.000, 0.500, 0.500], [0.500, 0.000, 0.500]]
}


{
  "formula": "TeIrPbI2",
  "functional": "GGA-PBE",
  "state": "relaxed",
  "space_group": "P4/mmm (123)",
  "polymorph_energy_mev_per_atom": 1102,
  "lattice": [[6.087, 0.000, 0.000], [0.000, 6.087, 0.000], [0.000, 0.000, 6.004]],
  "species": ["Te", "Ir", "Pb", "I", "I"],
  "fractional_positions": [[0.000, 0.000, 0.000], [0.500, 0.500, 0.000], [0.000, 0.000, 0.500], [0.000, 0.500, 0.500], [0.500, 0.000, 0.500]]
}


{
  "formula": "TiIrPbI2",
  "functional": "GGA-PBE",
  "state": "relaxed",
  "space_group": "P4/mmm (123)",
  "lattice": [[5.477, 0.000, 0.000], [0.000, 5.477, 0.000], [0.000, 0.000, 4.801]],
  "species": ["Ti", "Ir", "Pb", "I", "I"],
  "fractional_positions": [[0.000, 0.000, 0.000], [0.000, 0.000, 0.500], [0.500, 0.500, 0.500], [0.000, 0.500, 0.000], [0.500, 0.000, 0.000]]
}


{
  "formula": "IrPd2I",
  "functional": "GGA-PBE",
  "state": "relaxed",
  "space_group": "Fm-3m (225)",
  "polymorph_energy_mev_per_atom": 62,
  "lattice": [[6.555, 0.000, 0.000], [0.000, 6.555, 0.000], [0.000, 0.000, 6.555]],
  "species": ["Ir", "Ir", "Ir", "Ir", "Pd", "Pd", "Pd", "Pd", "Pd", "Pd", "Pd", "Pd", "I", "I", "I", "I"],
  "fractional_positions": [[0.000, 0.000, 0.000], [0.000, 0.500, 0.500], [0.500, 0.000, 0.500], [0.500, 0.500, 0.000], [0.250, 0.250, 0.250], [0.250, 0.250, 0.750], [0.250, 0.750, 0.250], [0.250, 0.750, 0.750], [0.750, 0.250, 0.250], [0.750, 0.250, 0.750], [0.750, 0.750, 0.250], [0.750, 0.750, 0.750], [0.000, 0.000, 0.500], [0.000, 0.500, 0.000], [0.500, 0.000, 0.000], [0.500, 0.500, 0.500]]
}


{
  "formula": "IrPd2I",
  "functional": "GGA-PBE",
  "state": "relaxed",
  "space_group": "I-42d (122)",
  "polymorph_energy_mev_per_atom": 0,
  "lattice": [[7.437, 0.000, 0.000], [0.000, 7.437, 0.000], [0.000, 0.000, 5.415]],
  "species": ["Ir", "Ir", "Ir", "Ir", "Pd", "Pd", "Pd", "Pd", "Pd", "Pd", "Pd", "Pd", "I", "I", "I", "I"],
  "fractional_positions": [[0.000, 0.000, 0.000], [0.000, 0.500, 0.250], [0.500, 0.000, 0.750], [0.500, 0.500, 0.500], [0.244, 0.250, 0.125], [0.250, 0.744, 0.375], [0.250, 0.756, 0.875], [0.256, 0.250, 0.625], [0.744, 0.750, 0.625], [0.750, 0.244, 0.875], [0.750, 0.256, 0.375], [0.756, 0.750, 0.125], [0.000, 0.000, 0.500], [0.000, 0.500, 0.750], [0.500, 0.000, 0.250], [0.500, 0.500, 0.000]]
}


{
  "formula": "IrPdI",
  "functional": "GGA-PBE",
  "state": "relaxed",
  "space_group": "P-1 (2)",
  "lattice": [[3.762, 0.000, 0.000], [-0.013, 5.775, 0.000], [-1.876, -1.892, 5.478]],
  "species": ["Ir", "Ir", "Pd", "Pd", "I", "I"],
  "fractional_positions": [[0.245, 0.328, 0.492], [0.755, 0.672, 0.508], [0.434, 0.741, 0.868], [0.566, 0.259, 0.132], [0.120, 0.837, 0.241], [0.880, 0.163, 0.759]]
}


{
  "formula": "IrPd3I",
  "functional": "GGA-PBE",
  "state": "relaxed",
  "space_group": "Pm-3m (221)",
  "polymorph_energy_mev_per_atom": 0,
  "lattice": [[4.909, 0.000, 0.000], [0.000, 4.909, 0.000], [0.000, 0.000, 4.909]],
  "species": ["Ir", "Pd", "Pd", "Pd", "I"],
  "fractional_positions": [[0.000, 0.000, 0.000], [0.000, 0.000, 0.500], [0.000, 0.500, 0.000], [0.500, 0.000, 0.000], [0.500, 0.500, 0.500]]
}


{
  "formula": "Pm6Ir2PdI3",
  "functional": "GGA-PBE",
  "state": "relaxed",
  "space_group": "C2/m (12)",
  "lattice": [[3.645, -6.312, 0.000], [3.645, 6.312, 0.000], [-2.430, 0.000, 8.078]],
  "species": ["Pm", "Pm", "Pm", "Pm", "Pm", "Pm", "Ir", "Ir", "Pd", "I", "I", "I"],
  "fractional_positions": [[0.094, 0.438, 0.814], [0.218, 0.218, 0.185], [0.438, 0.094, 0.814], [0.562, 0.906, 0.186], [0.782, 0.782, 0.815], [0.906, 0.562, 0.186], [0.167, 0.833, 0.000], [0.833, 0.167, 0.000], [0.500, 0.500, 0.000], [0.000, 0.000, 0.500], [0.333, 0.667, 0.500], [0.667, 0.333, 0.500]]
}


{
  "formula": "Pr8Ir3PdI4",
  "functional": "GGA-PBE",
  "state": "relaxed",
  "space_group": "R-3m (166)",
  "lattice": [[4.261, 2.460, 8.178], [-4.261, 2.460, 8.178], [0.000, -4.920, 8.178]],
  "species": ["Pr", "Pr", "Pr", "Pr", "Pr", "Pr", "Pr", "Pr", "Ir", "Ir", "Ir", "Pd", "I", "I", "I", "I"],
  "fractional_positions": [[0.219, 0.733, 0.733], [0.229, 0.229, 0.229], [0.267, 0.267, 0.781], [0.267, 0.781, 0.267], [0.733, 0.219, 0.733], [0.733, 0.733, 0.219], [0.771, 0.771, 0.771], [0.781, 0.267, 0.267], [0.000, 0.000, 0.500], [0.000, 0.500, 0.000], [0.500, 0.000, 0.000], [0.500, 0.500, 0.500], [0.000, 0.000, 0.000], [0.000, 0.500, 0.500], [0.500, 0.000, 0.500], [0.500, 0.500, 0.000]]
}


{
  "formula": "Pr8IrPd3I4",
  "functional": "GGA-PBE",
  "state": "relaxed",
  "space_group": "R-3m (166)",
  "lattice": [[4.286, 2.474, 8.182], [-4.286, 2.474, 8.182], [0.000, -4.949, 8.182]],
  "species": ["Pr", "Pr", "Pr", "Pr", "Pr", "Pr", "Pr", "Pr", "Ir", "Pd", "Pd", "Pd", "I", "I", "I", "I"],
  "fractional_positions": [[0.230, 0.230, 0.230], [0.239, 0.725, 0.725], [0.275, 0.275, 0.761], [0.275, 0.761, 0.275], [0.725, 0.239, 0.725], [0.725, 0.725, 0.239], [0.761, 0.275, 0.275], [0.770, 0.770, 0.770], [0.500, 0.500, 0.500], [0.000, 0.000, 0.500], [0.000, 0.500, 0.000], [0.500, 0.000, 0.000], [0.000, 0.000, 0.000], [0.000, 0.500, 0.500], [0.500, 0.000, 0.500], [0.500, 0.500, 0.000]]
}


{
  "formula": "Ir2PdPtI",
  "functional": "GGA-PBE",
  "state": "relaxed",
  "space_group": "P4/mmm (123)",
  "lattice": [[4.832, 0.000, 0.000], [0.000, 4.832, 0.000], [0.000, 0.000, 4.798]],
  "species": ["Ir", "Ir", "Pd", "Pt", "I"],
  "fractional_positions": [[0.000, 0.500, 0.000], [0.500, 0.000, 0.000], [0.000, 0.000, 0.500], [0.500, 0.500, 0.500], [0.000, 0.000, 0.000]]
}


The records above yield uncorrected energy values of -0.3560 -0.2603 -0.1793 -0.3190 -0.3333 -0.3379 -0.3466 -0.3097 -0.4141 -0.4201 -0.3827 -0.3132 Ry per atom, respectively.
The records above yield raw formation energy values of 1.223 0.221 1.323 0.373 0.664 0.601 0.486 0.984 -0.961 -0.952 -0.902 1.840 eV per atom, respectively.